1.
# PIr2Br

A geometry-optimized PIr2Br structure (PBE, the Alexandria database).

a = 3.0290 Å, b = 3.0290 Å, c = 28.5880 Å
α = 90.00°, β = 90.00°, γ = 120.00°
Last column: nearest neighbours and their distance in Å.
Space group R3m (No. 160, hexagonal axes)
Inequivalent atoms, fractional coordinates:
P 0.0000 0.0000 0.0000  3 Ir 2.35
Ir 0.0000 0.0000 0.4655  3 Br 2.68, 3 Ir 2.82
Ir 0.0000 0.0000 0.7216  3 P 2.35
Br 0.0000 0.0000 0.2031  3 Ir 2.68

Calculated values
The energy above the lowest structure with this stoichiometry is 0.305 eV/atom.

2.
# P2IrBr

A geometry-optimized P2IrBr structure (PBE, the Alexandria database).

a = 3.6297 Å, b = 3.6297 Å, c = 20.2336 Å
α = 90.00°, β = 90.00°, γ = 120.00°
Last column: nearest neighbours and their distance in Å.
Space group R-3m (No. 166, hexagonal axes)
Inequivalent atoms, fractional coordinates:
P 0.0000 0.0000 0.2239  3 Ir 2.39
Ir 0.0000 0.0000 0.5000  6 P 2.39
Br 0.0000 0.0000 0.0000  6 P 3.05

Calculated values
The energy above the lowest structure with this stoichiometry is 0.229 eV/atom.

3.
# PIr2Br

A geometry-optimized PIr2Br structure (PBE, the Alexandria database).

a = 2.9016 Å, b = 2.9016 Å, c = 8.7473 Å
α = 90.00°, β = 90.00°, γ = 90.00°
Last column: nearest neighbours and their distance in Å.
Space group P4mm (No. 99)
Inequivalent atoms, fractional coordinates:
P 0.0000 0.0000 0.0000  4 Ir 2.48
Ir 0.0000 0.0000 0.6189  8 Ir 2.82-2.90, 4 Br 2.84
Ir 0.5000 0.5000 0.8397  4 P 2.48
Br 0.5000 0.5000 0.3948  4 Ir 2.84, 4 Br 2.90

Calculated values
The energy above the lowest structure with this stoichiometry is 0.338 eV/atom.

4.
# PIr2Br

A geometry-optimized PIr2Br structure (PBE, the Alexandria database).

a = 4.8941 Å, b = 4.8941 Å, c = 13.3364 Å
α = 90.00°, β = 90.00°, γ = 90.00°
Last column: nearest neighbours and their distance in Å.
Space group I-42d (No. 122)
Inequivalent atoms, fractional coordinates:
P 0.0000 0.0000 0.0000  4 Ir 2.24
Ir 0.1771 0.2500 0.1250  2 P 2.24
Br 0.0000 0.0000 0.5000  4 Ir 2.60

Calculated values
The energy above the lowest structure with this stoichiometry is 0.216 eV/atom.

5.
# PIr2Br

A geometry-optimized PIr2Br structure (PBE, the Alexandria database).

a = 3.2067 Å, b = 3.3457 Å, c = 13.1325 Å
α = 90.00°, β = 90.00°, γ = 90.00°
Last column: nearest neighbours and their distance in Å.
Space group Imm2 (No. 44)
Inequivalent atoms, fractional coordinates:
P 0.0000 0.0000 0.0000  6 Ir 2.27-2.45
Ir 0.0000 0.0000 0.4396  4 P 2.45
Ir 0.0000 0.5000 0.1164  2 P 2.27
Br 0.0000 0.5000 0.7630  6 Ir 2.82-3.01

Calculated values
The energy above the lowest structure with this stoichiometry is 0.157 eV/atom.

6.
# P2IrBr

A geometry-optimized P2IrBr structure (PBE, the Alexandria database).

a = 6.4026 Å, b = 4.0558 Å, c = 7.1635 Å
α = 90.00°, β = 104.86°, γ = 90.00°
Last column: nearest neighbours and their distance in Å.
Space group Cm (No. 8)
Inequivalent atoms, fractional coordinates:
P 0.0000 0.0000 0.0000  1 Br 2.24, 3 Ir 2.44-2.47
P 0.1340 0.5000 0.7622  3 Ir 2.33-2.34, 1 P 2.52
Ir 0.3127 0.0000 0.8581  6 P 2.33-2.47
Br 0.0875 0.0000 0.3242  1 P 2.24

Calculated values
The energy above the lowest structure with this stoichiometry is 0.014 eV/atom.

7.
# PIr2Br

A geometry-optimized PIr2Br structure (PBE, the Alexandria database).

a = 3.9708 Å, b = 3.7149 Å, c = 6.1947 Å
α = 90.00°, β = 96.63°, γ = 90.00°
Last column: nearest neighbours and their distance in Å.
Space group Pm (No. 6)
Inequivalent atoms, fractional coordinates:
P 0.0000 0.0000 0.0000  3 Ir 2.24-2.31
Ir 0.4597 0.0000 0.2647  1 P 2.31, 2 Br 2.58
Ir 0.9249 0.5000 0.1922  2 P 2.24
Br 0.3400 0.5000 0.5348  3 Ir 2.53-2.58

Calculated values
The energy above the lowest structure with this stoichiometry is 0.108 eV/atom.

8.
# P2IrBr

A geometry-optimized P2IrBr structure (PBE, the Alexandria database).

a = 5.2217 Å, b = 8.0657 Å, c = 3.1389 Å
α = 90.00°, β = 90.00°, γ = 90.00°
Last column: nearest neighbours and their distance in Å.
Space group Cmmm (No. 65)
Inequivalent atoms, fractional coordinates:
P 0.2500 0.2500 0.0000  2 P 2.61, 4 Br 2.87, 4 Ir 2.87
Ir 0.0000 0.0000 0.5000  2 Br 2.61, 8 P 2.87
Br 0.0000 0.5000 0.5000  2 Ir 2.61, 8 P 2.87

Calculated values
The energy above the lowest structure with this stoichiometry is 1.162 eV/atom.

9.
# P2IrBr

A geometry-optimized P2IrBr structure (PBE, the Alexandria database).

a = 5.0155 Å, b = 5.0155 Å, c = 5.2690 Å
α = 90.00°, β = 90.00°, γ = 90.00°
Last column: nearest neighbours and their distance in Å.
Space group I4/mmm (No. 139)
Inequivalent atoms, fractional coordinates:
P 0.0000 0.5000 0.0000  2 Br 2.51, 2 Ir 2.51, 2 P 2.63
Ir 0.0000 0.0000 0.0000  4 P 2.51, 2 Br 2.63
Br 0.0000 0.0000 0.5000  4 P 2.51, 2 Ir 2.63

Calculated values
The energy above the lowest structure with this stoichiometry is 0.686 eV/atom.

10.
# P2IrBr

A geometry-optimized P2IrBr structure (PBE, the Alexandria database).

a = 3.6679 Å, b = 3.6679 Å, c = 19.4900 Å
α = 90.00°, β = 90.00°, γ = 120.00°
Last column: nearest neighbours and their distance in Å.
Space group R3m (No. 160, hexagonal axes)
Inequivalent atoms, fractional coordinates:
P 0.0000 0.0000 0.0000  3 P 2.34
P 0.0000 0.0000 0.2827  3 P 2.34, 3 Ir 2.38
Ir 0.0000 0.0000 0.5599  3 P 2.38
Br 0.0000 0.0000 0.8005  3 Ir 2.78

Calculated values
The energy above the lowest structure with this stoichiometry is 0.505 eV/atom.

11.
# PIrBr

A geometry-optimized PIrBr structure (PBE, the Alexandria database).

a = 6.0891 Å, b = 6.0891 Å, c = 6.0891 Å
α = 90.00°, β = 90.00°, γ = 90.00°
Last column: nearest neighbours and their distance in Å.
Space group F-43m (No. 216)
Inequivalent atoms, fractional coordinates:
P 0.0000 0.0000 0.0000  4 Ir 2.64
Ir 0.2500 0.2500 0.2500  4 Br 2.64, 4 P 2.64
Br 0.0000 0.0000 0.5000  4 Ir 2.64

Calculated values
The energy above the lowest structure with this stoichiometry is 0.571 eV/atom.

12.
# P2IrBr

A geometry-optimized P2IrBr structure (PBE, the Alexandria database).

a = 3.1410 Å, b = 3.2362 Å, c = 7.5096 Å
α = 90.00°, β = 90.00°, γ = 90.00°
Last column: nearest neighbours and their distance in Å.
Space group Pmm2 (No. 25)
Inequivalent atoms, fractional coordinates:
P 0.0000 0.0000 0.0000  4 Ir 2.52, 4 P 2.57
P 0.5000 0.5000 0.1654  1 Ir 2.36, 4 P 2.57
Ir 0.5000 0.5000 0.8514  5 P 2.36-2.52
Br 0.0000 0.0000 0.5769  4 Ir 3.05, 4 Br 3.14-3.24, 1 P 3.18

Calculated values
The energy above the lowest structure with this stoichiometry is 0.604 eV/atom.